This record from OQMD describes crystalline Nb2Ge at its relaxed geometry. The functional is PBE.

Properties
Its total energy is -5.427 eV/atom.

Cell lengths 8.201, 8.201, 8.201 Å; angles 60.00, 60.00, 60.00 degrees
Site moments in Bohr magnetons follow the coordinates.
Fractional positions:
Nb  0.625  0.125  0.625  2.23
Nb  0.625  0.625  0.625  2.21
Nb  0.625  0.625  0.125  2.22
Nb  0.125  0.625  0.625  2.26
Ge  0.750  0.750  0.750  -0.10
Ge  0.500  0.500  0.500  -0.10

=====

This record from OQMD describes crystalline NaNbF3 at its relaxed geometry. The functional is PBE.

Properties
As for the energy above the most stable polymorph in this dataset: 294 meV/atom. Its total energy is -5.271 eV/atom.

Cell lengths 3.722, 3.722, 5.111 Å; angles 90.00, 90.00, 90.00 degrees
Site moments in Bohr magnetons follow the coordinates.
Fractional positions:
F  0.500  0.500  0.077  0.05
F  0.000  0.500  0.710  0.00
F  0.500  0.000  0.710  0.03
Na  0.500  0.500  0.479  0.01
Nb  0.000  0.000  0.924  2.28